(1)
Here is a relaxed structure of K2CdW from the Alexandria database. Energies are from PBE-GGA.

Space group   C2/m (12)
Formation enthalpy at 0 K   1.240 eV/atom
DOS at the Fermi energy   0.76 states/eV per atom
Calculated density   6063 kg/m3
Total DFT energy (no corrections)   -2.776 eV/atom

Cell: 6.3190 6.3190 5.8252 Å, 86.13 86.13 26.23°
Element x y z (fractional)
Cd: 0.7500 0.7500 0.7500
K: 0.0010 0.0010 0.0017
K: 0.4990 0.4990 0.4983
W: 0.2500 0.2500 0.2500

---

(2)
Here is a relaxed structure of K2CdW from the Alexandria database. Energies are from PBE-GGA.

Space group   P2/m (10)
Formation enthalpy at 0 K   1.252 eV/atom
DOS at the Fermi energy   1.01 states/eV per atom
Calculated density   5814 kg/m3
Total DFT energy (no corrections)   -2.763 eV/atom

Cell: 5.9512 2.8690 7.0060 Å, 63.40 90.00 90.00°
Element x y z (fractional)
Cd: 0.5000 0.7500 0.7500
K: 0.0000 0.9970 0.0045
K: 0.0000 0.5030 0.4955
W: 0.5000 0.2500 0.2500

---

> What is the calculated density in the second record?

5814 kg/m3